Material: Y5ErRh6
Method: DFT, PBE
State: optimized geometry

Cell: 4.8367 6.8978 7.6568 Å, 90.00 71.52 90.00°
Sites, in units of the cell vectors:
Rh  0.1656  0.7514  0.6687
Rh  0.8344  0.2486  0.3313
Rh  0.1656  0.2486  0.6687
Rh  0.5000  0.2472  0.0000
Rh  0.8344  0.7514  0.3313
Rh  0.5000  0.7528  0.0000
Y  0.3336  0.0000  0.3328
Y  0.3333  0.5000  0.3334
Y  0.6667  0.5000  0.6666
Y  0.0000  0.5000  0.0000
Y  0.6664  0.0000  0.6672
Er  0.0000  0.0000  0.0000

The calculation puts the density of states at the Fermi level at 0.572 states/eV per atom. The symmetry is P2/m (10). The value obtained for the formation energy is -0.857 eV/atom. The value obtained for the spin magnetization is 0.000 μB/f.u. As for the density: 8.42 g/cm3.



Material: Nd3PBr3
Method: DFT, PBE
State: optimized geometry

Cell: 4.1459 8.7183 11.9302 Å, 89.79 90.00 90.00°
Sites, in units of the cell vectors:
P  0.7500  0.1221  0.6182
P  0.2500  0.8779  0.3818
Br  0.7500  0.6315  0.1229
Br  0.2500  0.3816  0.3679
Br  0.2500  0.8708  0.8818
Br  0.2500  0.3685  0.8771
Br  0.7500  0.1292  0.1182
Br  0.7500  0.6184  0.6321
Nd  0.2500  0.3365  0.6271
Nd  0.2500  0.9035  0.6168
Nd  0.2500  0.8759  0.1499
Nd  0.7500  0.1241  0.8501
Nd  0.7500  0.6635  0.3729
Nd  0.7500  0.0965  0.3832

The calculation puts the density of states at the Fermi level at 0.506 states/eV per atom. The symmetry is P2_1/m (11). The value obtained for the uncorrected formation energy is -11.3 eV per formula unit. The value obtained for the spin magnetization is 0.000 μB/f.u. As for the density: 5.42 g/cm3.



Material: Gd2CdSb
Method: DFT, PBE
State: optimized geometry

Cell: 5.3628 5.3628 5.3628 Å, 60.00 60.00 60.00°
Each line ends with the local moment (μB).
Sites, in units of the cell vectors:
Gd  0.7500  0.7500  0.7500  7.23
Gd  0.2500  0.2500  0.2500  7.23
Sb  0.0000  0.0000  0.0000  -0.03
Cd  0.5000  0.5000  0.5000  0.00

The calculation puts the density of states at the Fermi level at 1.100 states/eV per atom. The symmetry is Fm-3m (225). The value obtained for the uncorrected formation energy is -2.3 eV per formula unit. For the offset from the most stable computed form, the calculation gives 95.8 meV per atom. The value obtained for the spin magnetization is 15.113 μB/f.u. As for the density: 8.35 g/cm3.



Material: MgSbF3
Method: DFT, PBE
State: optimized geometry

Cell: 4.5966 4.5966 4.5966 Å, 90.00 90.00 90.00°
Sites, in units of the cell vectors:
F  0.0000  0.0000  0.5000
F  0.5000  0.0000  0.0000
F  0.0000  0.5000  0.0000
Sb  0.0000  0.0000  0.0000
Mg  0.5000  0.5000  0.5000

The calculation puts the density of states at the Fermi level at 0.140 states/eV per atom. The symmetry is Pm-3m (221). The value obtained for the uncorrected formation energy is -7.5 eV per formula unit. For the offset from the most stable computed form, the calculation gives 641.2 meV per atom. The value obtained for the spin magnetization is 0.000 μB/f.u. As for the density: 3.47 g/cm3.



Material: TaTcAu2
Method: DFT, PBE
State: optimized geometry

Cell: 3.3750 3.3750 6.0209 Å, 90.00 90.00 90.00°
Sites, in units of the cell vectors:
Au  0.5000  0.5000  0.2497
Au  0.0000  0.0000  0.0011
Tc  0.5000  0.5000  0.7296
Ta  0.0000  0.0000  0.5196

The calculation puts the density of states at the Fermi level at 0.402 states/eV per atom. The symmetry is P4mm (99). The value obtained for the formation energy is -0.037 eV/atom. For the offset from the most stable computed form, the calculation gives 0.0 meV per atom. The value obtained for the spin magnetization is 0.000 μB/f.u. As for the density: 16.29 g/cm3.



Material: Cr2Pb
Method: DFT, PBE
State: optimized geometry

Cell: 7.2606 7.2606 4.1298 Å, 90.00 90.00 147.88°
Each line ends with the local moment (μB).
Sites, in units of the cell vectors:
Pb  0.0960  0.9040  0.7500  -0.02
Pb  0.9040  0.0960  0.2500  -0.02
Cr  0.7503  0.2497  0.7500  -2.07
Cr  0.3479  0.6521  0.7500  2.42
Cr  0.6521  0.3479  0.2500  2.42
Cr  0.2497  0.7503  0.2500  -2.07

The calculation puts the density of states at the Fermi level at 0.511 states/eV per atom. The symmetry is Cmcm (63). The value obtained for the formation energy is 0.494 eV/atom. For the offset from the most stable computed form, the calculation gives 62.8 meV per atom. The value obtained for the spin magnetization is 0.372 μB/f.u. As for the density: 8.93 g/cm3.



Material: La6ScCd5
Method: DFT, PBE
State: optimized geometry

Cell: 5.5489 7.8813 8.8243 Å, 90.00 108.34 90.00°
Sites, in units of the cell vectors:
La  0.8326  0.7526  0.6628
La  0.8326  0.2474  0.6628
La  0.5000  0.2589  0.0000
La  0.1674  0.7526  0.3372
La  0.1674  0.2474  0.3372
La  0.5000  0.7411  0.0000
Cd  0.3352  0.5000  0.6670
Cd  0.6648  0.5000  0.3330
Cd  0.6551  0.0000  0.3137
Cd  0.3449  0.0000  0.6863
Cd  0.0000  0.5000  0.0000
Sc  0.0000  0.0000  0.0000

The calculation puts the density of states at the Fermi level at 1.281 states/eV per atom. The symmetry is P2/m (10). The value obtained for the formation energy is -0.247 eV/atom. The value obtained for the spin magnetization is 0.004 μB/f.u. As for the density: 6.53 g/cm3.



Material: SiGeBr2
Method: DFT, PBE
State: optimized geometry

Cell: 5.0456 5.0456 5.0456 Å, 60.00 60.00 60.00°
Sites, in units of the cell vectors:
Si  0.0000  0.0000  0.0000
Br  0.2500  0.2500  0.2500
Br  0.7500  0.7500  0.7500
Ge  0.5000  0.5000  0.5000

The calculation puts the density of states at the Fermi level at 1.075 states/eV per atom. The symmetry is Fm-3m (225). The value obtained for the uncorrected formation energy is 1.9 eV per formula unit. For the offset from the most stable computed form, the calculation gives 194.7 meV per atom. The value obtained for the spin magnetization is 0.000 μB/f.u. As for the density: 4.76 g/cm3.



Material: NbCu6Pd8
Method: DFT, PBE
State: optimized geometry

Cell: 6.2018 6.2018 6.2018 Å, 79.76 79.76 79.76°
Sites, in units of the cell vectors:
Pd  0.3842  0.0662  0.8269
Pd  0.1731  0.6158  0.9338
Pd  0.8269  0.3842  0.0662
Pd  0.0662  0.8269  0.3842
Pd  0.6158  0.9338  0.1731
Pd  0.2335  0.2335  0.2335
Pd  0.7665  0.7665  0.7665
Pd  0.9338  0.1731  0.6158
Cu  0.5826  0.2127  0.4378
Cu  0.7873  0.5622  0.4174
Cu  0.2127  0.4378  0.5826
Cu  0.4174  0.7873  0.5622
Cu  0.4378  0.5826  0.2127
Cu  0.5622  0.4174  0.7873
Nb  0.0000  0.0000  0.0000

The calculation puts the density of states at the Fermi level at 0.394 states/eV per atom. The symmetry is R-3 (148). The value obtained for the formation energy is 0.017 eV/atom. The value obtained for the spin magnetization is 0.000 μB/f.u. As for the density: 9.64 g/cm3.



Material: BaBe2ZnCr
Method: DFT, PBE
State: optimized geometry

Cell: 5.0448 4.9381 5.0448 Å, 90.00 90.00 90.00°
Sites, in units of the cell vectors:
Zn  0.5000  0.5000  0.5000
Be  0.5000  0.0000  0.0000
Be  0.0000  0.0000  0.5000
Cr  0.0000  0.5000  0.0000
Ba  0.0000  0.0000  0.0000

The calculation puts the density of states at the Fermi level at 1.229 states/eV per atom. The symmetry is P4/mmm (123). The value obtained for the formation energy is 2.534 eV/atom. The value obtained for the spin magnetization is 0.070 μB/f.u. As for the density: 3.60 g/cm3.



Material: ScTaSeBr2
Method: DFT, PBE
State: optimized geometry

Cell: 5.1296 5.1296 5.3277 Å, 90.00 90.00 90.00°
Each line ends with the local moment (μB).
Sites, in units of the cell vectors:
Br  0.0000  0.5000  0.0000  0.02
Br  0.5000  0.0000  0.0000  0.02
Se  0.0000  0.0000  0.5000  -0.06
Ta  0.5000  0.5000  0.5000  2.38
Sc  0.0000  0.0000  0.0000  0.13

The calculation puts the density of states at the Fermi level at 1.208 states/eV per atom. The symmetry is P4/mmm (123). The value obtained for the uncorrected formation energy is 0.9 eV per formula unit. For the offset from the most stable computed form, the calculation gives 138.9 meV per atom. The value obtained for the spin magnetization is 3.934 μB/f.u. As for the density: 5.50 g/cm3.



Material: Be2Cu2N
Method: DFT, PBE
State: optimized geometry

Cell: 4.6083 4.6083 4.9266 Å, 90.00 90.00 90.00°
Sites, in units of the cell vectors:
Be  0.7011  0.2011  0.0000
Be  0.2989  0.7989  0.0000
Be  0.7989  0.7011  0.0000
Be  0.2011  0.2989  0.0000
Cu  0.1800  0.6800  0.5000
Cu  0.8200  0.3200  0.5000
Cu  0.3200  0.1800  0.5000
Cu  0.6800  0.8200  0.5000
N  0.5000  0.5000  0.0000
N  0.0000  0.0000  0.0000

The calculation puts the density of states at the Fermi level at 0.366 states/eV per atom. The symmetry is P4/mbm (127). The value obtained for the uncorrected formation energy is 0.5 eV per formula unit. For the offset from the most stable computed form, the calculation gives 0.0 meV per atom. The value obtained for the spin magnetization is 0.000 μB/f.u. As for the density: 5.05 g/cm3.



Material: Sm3Co2Ni7
Method: DFT, PBE
State: optimized geometry

Cell: 5.0078 5.0078 8.7303 Å, 73.33 73.33 60.00°
Each line ends with the local moment (μB).
Sites, in units of the cell vectors:
Co  0.3326  0.3326  0.0021  1.41
Co  0.6674  0.6674  0.9979  1.41
Sm  0.1384  0.1384  0.5848  -0.07
Sm  0.8616  0.8616  0.4152  -0.07
Sm  0.0000  0.0000  0.0000  -0.10
Ni  0.4198  0.4198  0.2416  0.24
Ni  0.5000  0.5000  0.5000  0.01
Ni  0.5802  0.0812  0.7584  0.24
Ni  0.9188  0.4198  0.2416  0.24
Ni  0.4198  0.9188  0.2416  0.24
Ni  0.0812  0.5802  0.7584  0.24
Ni  0.5802  0.5802  0.7584  0.24

The calculation puts the density of states at the Fermi level at 0.988 states/eV per atom. The symmetry is R-3m (166). The value obtained for the formation energy is -0.284 eV/atom. The value obtained for the spin magnetization is 3.692 μB/f.u. As for the density: 9.09 g/cm3.



Material: NaHfAg2Cl8
Method: DFT, PBE
State: optimized geometry

Cell: 6.6224 6.3008 7.8947 Å, 90.00 90.00 98.97°
Each line ends with the local moment (μB).
Sites, in units of the cell vectors:
Cl  0.1381  0.7903  0.2176  0.01
Cl  0.8619  0.2097  0.7824  0.01
Cl  0.3334  0.2692  0.0000  0.05
Cl  0.6222  0.7527  0.5000  0.11
Cl  0.8619  0.2097  0.2176  0.01
Cl  0.3778  0.2473  0.5000  0.11
Cl  0.1381  0.7903  0.7824  0.01
Cl  0.6666  0.7308  0.0000  0.05
Hf  0.0000  0.0000  0.0000  0.00
Na  0.0000  0.0000  0.5000  0.00
Ag  0.5000  0.5000  0.7395  0.13
Ag  0.5000  0.5000  0.2605  0.13

The calculation puts the density of states at the Fermi level at 0.538 states/eV per atom. The symmetry is P2/m (10). The value obtained for the uncorrected formation energy is -14.5 eV per formula unit. The value obtained for the spin magnetization is 0.703 μB/f.u. As for the density: 3.58 g/cm3.



Material: Pa2TeH2Se2
Method: DFT, PBE
State: optimized geometry

Cell: 3.9804 3.9804 11.5556 Å, 80.08 80.08 60.00°
Each line ends with the local moment (μB).
Sites, in units of the cell vectors:
Pa  0.2678  0.2678  0.1965  0.94
Pa  0.7322  0.7322  0.8035  0.94
H  0.3940  0.3940  0.8180  -0.01
H  0.6060  0.6060  0.1820  -0.01
Te  0.0000  0.0000  0.0000  -0.03
Se  0.1153  0.1153  0.6540  -0.03
Se  0.8847  0.8847  0.3460  -0.03

The calculation puts the density of states at the Fermi level at 1.170 states/eV per atom. The symmetry is R-3m (166). The value obtained for the uncorrected energy is -6.08 eV/atom. The value obtained for the spin magnetization is 2.031 μB/f.u. As for the density: 8.01 g/cm3.



Material: MoSeI2N
Method: DFT, PBE
State: optimized geometry

Cell: 5.5396 5.5396 3.8413 Å, 90.00 90.00 90.00°
Sites, in units of the cell vectors:
Se  0.5000  0.5000  0.5000
N  0.0000  0.0000  0.5000
Mo  0.0000  0.0000  0.0000
I  0.5000  0.0000  0.0000
I  0.0000  0.5000  0.0000

The calculation puts the density of states at the Fermi level at 0.651 states/eV per atom. The symmetry is P4/mmm (123). The value obtained for the uncorrected formation energy is 2.5 eV per formula unit. For the offset from the most stable computed form, the calculation gives 0.0 meV per atom. The value obtained for the spin magnetization is 0.000 μB/f.u. As for the density: 6.24 g/cm3.



Material: Nd2AlGaGe
Method: DFT, PBE
State: optimized geometry

Cell: 4.3796 7.7152 7.5494 Å, 90.02 90.00 90.00°
Sites, in units of the cell vectors:
Nd  0.7500  0.7729  0.0055
Nd  0.2500  0.2271  0.9945
Nd  0.7500  0.7733  0.4944
Nd  0.2500  0.2267  0.5056
Al  0.7500  0.4158  0.2505
Al  0.2500  0.5842  0.7495
Ge  0.7500  0.0922  0.2499
Ge  0.2500  0.9078  0.7501
Ga  0.2500  0.5897  0.2503
Ga  0.7500  0.4103  0.7497

The calculation puts the density of states at the Fermi level at 0.356 states/eV per atom. The symmetry is P2_1/m (11). The value obtained for the formation energy is -0.596 eV/atom. The value obtained for the spin magnetization is 0.000 μB/f.u. As for the density: 5.96 g/cm3.